1.
The following is a GGA-PBE calculation of an optimized crystal structure of Sc5TlCo, from the Alexandria database.

Calculated values
Theoretical density: 5.13 g/cm3
DFT formation energy: -63 meV/atom
Total magnetic moment: 0.0 μB/f.u.

Lattice parameters (Å, degrees): 5.905 5.905 10.559 105.86 105.86 65.03
Fractional coordinates of all 14 atoms:
Sc  0.016  0.984  0.750
Sc  0.034  0.407  0.636
Sc  0.197  0.554  0.951
Sc  0.407  0.034  0.136
Sc  0.446  0.803  0.549
Sc  0.554  0.197  0.451
Sc  0.593  0.966  0.864
Sc  0.803  0.446  0.049
Sc  0.966  0.593  0.364
Sc  0.984  0.016  0.250
Tl  0.460  0.540  0.250
Tl  0.540  0.460  0.750
Co  0.000  0.000  0.000
Co  0.000  0.000  0.500



2.
The following is a GGA-PBE calculation of an optimized crystal structure of ScTl2Co, from the Alexandria database.

Calculated values
Theoretical density: 10.25 g/cm3
DFT formation energy: 302 meV/atom
Total magnetic moment: 0.9 μB/f.u.

Lattice parameters (Å, degrees): 6.926 6.926 6.926 90.00 90.00 90.00
Fractional coordinates of all 16 atoms:
Sc  0.000  0.000  0.000
Sc  0.000  0.500  0.500
Sc  0.500  0.000  0.500
Sc  0.500  0.500  0.000
Tl  0.000  0.000  0.500
Tl  0.000  0.500  0.000
Tl  0.250  0.250  0.750
Tl  0.250  0.750  0.250
Tl  0.500  0.000  0.000
Tl  0.500  0.500  0.500
Tl  0.750  0.250  0.250
Tl  0.750  0.750  0.750
Co  0.250  0.250  0.250
Co  0.250  0.750  0.750
Co  0.750  0.250  0.750
Co  0.750  0.750  0.250



3.
The following is a GGA-PBE calculation of an optimized crystal structure of Sc2TlCo, from the Alexandria database.

Calculated values
Theoretical density: 7.49 g/cm3
DFT formation energy: -158 meV/atom
Total magnetic moment: 0.6 μB/f.u.

Lattice parameters (Å, degrees): 4.737 4.737 3.490 90.00 90.00 90.00
Fractional coordinates of all 4 atoms:
Sc  0.000  0.500  0.000
Sc  0.500  0.000  0.000
Tl  0.000  0.000  0.500
Co  0.500  0.500  0.500



4.
The following is a GGA-PBE calculation of an optimized crystal structure of Sc2Tl2Co, from the Alexandria database.

Calculated values
Theoretical density: 8.57 g/cm3
DFT formation energy: 55 meV/atom
Total magnetic moment: 0.5 μB/f.u.

Lattice parameters (Å, degrees): 7.137 7.137 4.242 90.00 90.00 90.00
Fractional coordinates of all 10 atoms:
Sc  0.165  0.335  0.000
Sc  0.335  0.835  0.000
Sc  0.665  0.165  0.000
Sc  0.835  0.665  0.000
Tl  0.147  0.647  0.500
Tl  0.353  0.147  0.500
Tl  0.647  0.853  0.500
Tl  0.853  0.353  0.500
Co  0.000  0.000  0.500
Co  0.500  0.500  0.500



5.
The following is a GGA-PBE calculation of an optimized crystal structure of Sc7TlCo2, from the Alexandria database.

Calculated values
Theoretical density: 4.42 g/cm3
DFT formation energy: -39 meV/atom
Total magnetic moment: 0.0 μB/f.u.

Lattice parameters (Å, degrees): 7.517 7.517 4.646 90.00 90.00 114.16
Fractional coordinates of all 10 atoms:
Sc  0.000  0.000  0.000
Sc  0.181  0.447  0.000
Sc  0.207  0.793  0.500
Sc  0.447  0.181  0.000
Sc  0.553  0.819  0.000
Sc  0.793  0.207  0.500
Sc  0.819  0.553  0.000
Tl  0.500  0.500  0.500
Co  0.202  0.798  0.000
Co  0.798  0.202  0.000



6.
The following is a GGA-PBE calculation of an optimized crystal structure of Sc2TlCo, from the Alexandria database.

Calculated values
Theoretical density: 7.74 g/cm3
DFT formation energy: -35 meV/atom
Total magnetic moment: 0.1 μB/f.u.

Lattice parameters (Å, degrees): 4.166 4.166 8.729 90.00 90.00 90.00
Fractional coordinates of all 8 atoms:
Sc  0.000  0.000  0.000
Sc  0.000  0.500  0.250
Sc  0.500  0.000  0.750
Sc  0.500  0.500  0.500
Tl  0.000  0.500  0.750
Tl  0.500  0.000  0.250
Co  0.000  0.000  0.500
Co  0.500  0.500  0.000